1.
Here is crystalline Mg3Ni9As2P at its relaxed geometry from Alexandria. Energies are from GGA-PBE.

a b c (Å): 6.0457 6.0457 7.4986
angles (deg): 90.00 90.00 120.00
Last column: nearest neighbours and their distance in Å.
Atoms (fractional coordinates):
Mg (0.0000, 0.0000, 0.0000)  6 Ni 2.57
Mg (0.3333, 0.6667, 0.7092)  9 Ni 2.79-3.04
Mg (0.6667, 0.3333, 0.2908)  9 Ni 2.79-3.04
Ni (0.0000, 0.5000, 0.0000)  2 As 2.30
Ni (0.1348, 0.2695, 0.2861)  1 P 2.14, 1 As 2.18
Ni (0.1348, 0.8652, 0.2861)  1 P 2.14, 1 As 2.18
Ni (0.2695, 0.1348, 0.7139)  1 P 2.14, 1 As 2.18
Ni (0.5000, 0.0000, 0.0000)  2 As 2.30
Ni (0.5000, 0.5000, 0.0000)  2 As 2.30
Ni (0.7305, 0.8652, 0.2861)  1 P 2.14, 1 As 2.18
Ni (0.8652, 0.1348, 0.7139)  1 P 2.14, 1 As 2.18
Ni (0.8652, 0.7305, 0.7139)  1 P 2.14, 1 As 2.18
As (0.3333, 0.6667, 0.1993)  6 Ni 2.18-2.30
As (0.6667, 0.3333, 0.8007)  6 Ni 2.18-2.30
P (0.0000, 0.0000, 0.5000)  6 Ni 2.14

## Properties
DOS(E_F) in states/eV/f.u.: 9.0
VASP energy in eV/atom: -4.86
Crystal system: trigonal


2.
Here is crystalline Mg3Ni9AsP2 at its relaxed geometry from Alexandria. Energies are from GGA-PBE.

a b c (Å): 5.7228 5.7228 8.0987
angles (deg): 90.00 90.00 120.00
Last column: nearest neighbours and their distance in Å.
Atoms (fractional coordinates):
Mg (0.0000, 0.0000, 0.0000)  12 Ni 2.65-2.86
Mg (0.3333, 0.6667, 0.7202)  9 Ni 2.80-2.87
Mg (0.6667, 0.3333, 0.2798)  9 Ni 2.80-2.87
Ni (0.0000, 0.5000, 0.0000)  2 P 2.17
Ni (0.1427, 0.2854, 0.2761)  1 P 2.07, 1 As 2.30
Ni (0.1427, 0.8573, 0.2761)  1 P 2.07, 1 As 2.30
Ni (0.2854, 0.1427, 0.7239)  1 P 2.07, 1 As 2.30
Ni (0.5000, 0.0000, 0.0000)  2 P 2.17
Ni (0.5000, 0.5000, 0.0000)  2 P 2.17
Ni (0.7146, 0.8573, 0.2761)  1 P 2.07, 1 As 2.30
Ni (0.8573, 0.1427, 0.7239)  1 P 2.07, 1 As 2.30
Ni (0.8573, 0.7146, 0.7239)  1 P 2.07, 1 As 2.30
As (0.0000, 0.0000, 0.5000)  6 Ni 2.30
P (0.3333, 0.6667, 0.1729)  6 Ni 2.07-2.17
P (0.6667, 0.3333, 0.8271)  6 Ni 2.07-2.17

## Properties
DOS(E_F) in states/eV/f.u.: 8.5
VASP energy in eV/atom: -5.03
Crystal system: trigonal


3.
Here is crystalline MgPaNi2As2 at its relaxed geometry from Alexandria. Energies are from GGA-PBE.

a b c (Å): 4.0636 4.0636 7.2027
angles (deg): 90.00 90.00 120.00
Last column: nearest neighbours and their distance in Å.
Atoms (fractional coordinates):
Mg (0.0000, 0.0000, 0.0000)  6 Ni 2.93, 6 As 2.94
Pa (0.0000, 0.0000, 0.5000)  6 As 2.98, 6 Ni 2.99
Ni (0.3333, 0.6667, 0.2431)  3 As 2.35
Ni (0.6667, 0.3333, 0.7569)  3 As 2.35
As (0.3333, 0.6667, 0.7548)  3 Ni 2.35
As (0.6667, 0.3333, 0.2452)  3 Ni 2.35

## Properties
DOS(E_F) in states/eV/f.u.: 3.7
VASP energy in eV/atom: -6.00
Crystal system: trigonal


4.
Here is crystalline Pm2MgNi3As4 at its relaxed geometry from Alexandria. Energies are from GGA-PBE.

a b c (Å): 4.2208 4.2208 10.0293
angles (deg): 90.00 90.00 90.00
Last column: nearest neighbours and their distance in Å.
Atoms (fractional coordinates):
Pm (0.0000, 0.5000, 0.2340)  8 As 3.16-3.20, 7 Ni 3.23-3.47, 2 Mg 3.40
Pm (0.5000, 0.0000, 0.7660)  8 As 3.16-3.20, 7 Ni 3.23-3.47, 2 Mg 3.40
Mg (0.0000, 0.0000, 0.5000)  4 As 2.59
Ni (0.0000, 0.5000, 0.8879)  5 As 2.39
Ni (0.5000, 0.0000, 0.1121)  5 As 2.39
Ni (0.5000, 0.5000, 0.5000)  4 As 2.59
As (0.0000, 0.0000, 0.0000)  4 Ni 2.39
As (0.0000, 0.5000, 0.6499)  3 Ni 2.39-2.59, 2 Mg 2.59
As (0.5000, 0.0000, 0.3501)  3 Ni 2.39-2.59, 2 Mg 2.59
As (0.5000, 0.5000, 0.0000)  4 Ni 2.39

## Properties
DOS(E_F) in states/eV/f.u.: 4.6
VASP energy in eV/atom: -5.49
Crystal system: tetragonal


5.
Here is crystalline Pm2MgNi4As3 at its relaxed geometry from Alexandria. Energies are from GGA-PBE.

a b c (Å): 4.0702 4.0702 10.1726
angles (deg): 90.00 90.00 90.00
Last column: nearest neighbours and their distance in Å.
Atoms (fractional coordinates):
Pm (0.0000, 0.5000, 0.2352)  6 As 3.07-3.38, 8 Ni 3.14, 2 Mg 3.38
Pm (0.5000, 0.0000, 0.7648)  6 As 3.07-3.38, 8 Ni 3.14, 2 Mg 3.38
Mg (0.0000, 0.0000, 0.5000)  4 Ni 2.50
Ni (0.0000, 0.0000, 0.0000)  4 As 2.42
Ni (0.0000, 0.5000, 0.6419)  3 As 2.33-2.50, 2 Mg 2.50
Ni (0.5000, 0.0000, 0.3581)  3 As 2.33-2.50, 2 Mg 2.50
Ni (0.5000, 0.5000, 0.0000)  4 As 2.42
As (0.0000, 0.5000, 0.8707)  5 Ni 2.33-2.42
As (0.5000, 0.0000, 0.1293)  5 Ni 2.33-2.42
As (0.5000, 0.5000, 0.5000)  4 Ni 2.50

## Properties
DOS(E_F) in states/eV/f.u.: 6.7
VASP energy in eV/atom: -5.57
Crystal system: tetragonal


6.
Here is crystalline Mg2NiAs2Pt at its relaxed geometry from Alexandria. Energies are from GGA-PBE.

a b c (Å): 7.3475 7.3475 7.3475
angles (deg): 132.47 68.29 134.01
Last column: nearest neighbours and their distance in Å.
Atoms (fractional coordinates):
Mg (0.1545, 0.2371, 0.3916)  4 As 2.69-2.91, 2 Pt 2.75, 2 Ni 2.83
Mg (0.3455, 0.7371, 0.0825)  4 As 2.69-2.91, 2 Pt 2.75, 2 Ni 2.83
Mg (0.6545, 0.2629, 0.9175)  4 As 2.69-2.91, 2 Pt 2.75, 2 Ni 2.83
Mg (0.8455, 0.7629, 0.6084)  4 As 2.69-2.91, 2 Pt 2.75, 2 Ni 2.83
Ni (0.2500, 0.7500, 0.5000)  4 As 2.44
Ni (0.7500, 0.2500, 0.5000)  4 As 2.44
As (0.1244, 0.7132, 0.8376)  2 Ni 2.44, 2 Pt 2.69, 1 Mg 2.69
As (0.3756, 0.2132, 0.5888)  2 Ni 2.44, 2 Pt 2.69, 1 Mg 2.69
As (0.6244, 0.7868, 0.4112)  2 Ni 2.44, 2 Pt 2.69, 1 Mg 2.69
As (0.8756, 0.2868, 0.1624)  2 Ni 2.44, 2 Pt 2.69, 1 Mg 2.69
Pt (0.2500, 0.2500, 0.0000)  4 As 2.69, 4 Mg 2.75, 2 Pt 2.87, 2 Ni 2.96
Pt (0.7500, 0.7500, 0.0000)  4 As 2.69, 4 Mg 2.75, 2 Pt 2.87, 2 Ni 2.96

## Properties
DOS(E_F) in states/eV/f.u.: 3.6
VASP energy in eV/atom: -4.53
Crystal system: orthorhombic


7.
Here is crystalline PuMgNi2As2 at its relaxed geometry from Alexandria. Energies are from GGA-PBE.

a b c (Å): 4.1084 4.1084 6.8028
angles (deg): 90.00 90.00 120.00
Last column: nearest neighbours and their distance in Å.
Atoms (fractional coordinates):
Pu (0.0000, 0.0000, 0.0000)  6 As 2.96, 6 Ni 3.23
Mg (0.0000, 0.0000, 0.5000)  6 Ni 2.66, 6 As 2.87
Ni (0.3333, 0.6667, 0.6767)  3 As 2.41, 3 Mg 2.66
Ni (0.6667, 0.3333, 0.3233)  3 As 2.41, 3 Mg 2.66
As (0.3333, 0.6667, 0.2614)  3 Ni 2.41
As (0.6667, 0.3333, 0.7386)  3 Ni 2.41

## Properties
DOS(E_F) in states/eV/f.u.: 11.6
VASP energy in eV/atom: -6.75
Crystal system: trigonal


8.
Here is crystalline Rb2MgNiAs2 at its relaxed geometry from Alexandria. Energies are from GGA-PBE.

a b c (Å): 11.4304 11.4304 11.4304
angles (deg): 149.10 44.59 148.66
Last column: nearest neighbours and their distance in Å.
Atoms (fractional coordinates):
Rb (0.1469, 0.2428, 0.3897)  4 As 3.36-3.69
Rb (0.3531, 0.7428, 0.0959)  4 As 3.36-3.69
Rb (0.6469, 0.2572, 0.9041)  4 As 3.36-3.69
Rb (0.8531, 0.7572, 0.6103)  4 As 3.36-3.69
Mg (0.2500, 0.2500, 0.0000)  4 As 2.69
Mg (0.7500, 0.7500, 0.0000)  4 As 2.69
Ni (0.2500, 0.7500, 0.5000)  4 As 2.41
Ni (0.7500, 0.2500, 0.5000)  4 As 2.41
As (0.0628, 0.7113, 0.7741)  2 Ni 2.41, 2 Mg 2.69
As (0.4372, 0.2113, 0.6486)  2 Ni 2.41, 2 Mg 2.69
As (0.5628, 0.7887, 0.3514)  2 Ni 2.41, 2 Mg 2.69
As (0.9372, 0.2887, 0.2259)  2 Ni 2.41, 2 Mg 2.69

## Properties
DOS(E_F) in states/eV/f.u.: 2.9
VASP energy in eV/atom: -3.49
Crystal system: orthorhombic


Respective theoretical density values: 5.5, 5.3, 8.4, 7.3, 7.6, 7.3, 8.9, 3.4 g/cm3.
Respective energy of formation from the pure elements values: -94, -216, -674, -786, -756, -483, -616, -390 meV/atom.
Respective total moment values: 0.000, 0.000, 0.000, 0.000, 0.000, 0.000, 4.890, 0.000 Bohr magnetons per cell.